DFT (PBE-GGA) results for a relaxed structure of Pm5SnPb4.

**E_form**: -543 meV per atom
**Space-group type**: P4/mmm (123)
**Magnetic moment**: 0.00 μB/f.u.
**Crystal system**: tetragonal

a b c (Å): 3.573 3.573 22.971
angles (deg): 90.00 90.00 90.00
Atoms (fractional coordinates):
Pb1 0.000 0.000 0.400
Pb2 0.000 0.000 0.600
Pb3 0.000 0.000 0.198
Pb4 0.000 0.000 0.802
Pm1 0.500 0.500 0.905
Pm2 0.500 0.500 0.701
Pm3 0.500 0.500 0.299
Pm4 0.500 0.500 0.095
Pm5 0.500 0.500 0.500
Sn1 0.000 0.000 0.000